(1)
This record from Alexandria via LeMat-Bulk describes an optimized crystal structure of Cr2WBr. The functional is PBE.

Total DFT energy (no corrections), eV per atom: -7.953
Total moment, μB/atom: 1.167
DOS(E_F), states/eV/cell: 2.1
ΔE_f (raw), eV/atom: 0.515
Polymorph energy (0 for the lowest one), kJ/mol of atoms: 9.9

```
Cr2WBr
1.0
-2.5848 1.3551 1.1722
-0.7214 -2.6706 1.4963
3.6505 2.1388 5.5773
Br Cr W
1 2 1
direct
0.5000 0.5000 0.7500
0.0000 0.0000 0.0464
0.0000 0.0000 0.4536
0.5000 0.5000 0.2500
```



(2)
This record from Alexandria via LeMat-Bulk describes an optimized crystal structure of CrWBr. The functional is PBE.

Total DFT energy (no corrections), eV per atom: -6.668
Total moment, μB/atom: 0.272
DOS(E_F), states/eV/cell: 3.2
ΔE_f (raw), eV/atom: 1.416
Polymorph energy (0 for the lowest one), kJ/mol of atoms: 85.3

```
CrWBr
1.0
4.2801 0.0000 0.0000
2.1400 3.7067 0.0000
2.1400 1.2356 3.4947
Br Cr W
1 1 1
direct
0.0000 0.0000 0.0000
0.5000 0.5000 0.5000
0.2500 0.2500 0.2500
```